# 1
DFT (GGA-PBEsol) results for Cs3HoO3 after structural relaxation.

```
28
Lattice="8.035 0.000 0.000 0.000 7.485 0.000 -1.037 0.000 11.998" Properties=species:S:1:pos:R:3 pbc="T T T"
Cs 0.318 0.928 1.889
Cs -0.200 2.814 7.888
Cs 1.864 1.178 11.081
Cs 2.383 2.565 5.082
Cs 2.225 5.093 9.721
Cs 2.743 6.133 3.722
Cs 4.255 1.351 8.276
Cs 4.773 2.391 2.277
Cs 4.615 4.920 6.916
Cs 5.134 6.307 0.917
Cs 7.198 4.670 4.110
Cs 6.680 6.557 10.109
Ho 1.173 4.417 0.849
Ho 0.655 6.810 6.848
Ho 6.344 0.675 5.150
Ho 5.825 3.068 11.149
O 0.462 0.391 4.971
O -0.057 3.352 10.970
O 1.406 4.860 6.618
O 1.925 6.367 0.620
O 1.631 0.365 8.372
O 2.149 3.378 2.374
O 4.849 4.107 9.624
O 5.367 7.120 3.625
O 5.073 1.118 11.378
O 5.592 2.624 5.379
O 7.055 4.133 1.028
O 6.537 7.094 7.027
```

Results
distance to the lowest polymorph of the same formula: 0 meV/atom
energy relative to the elements, uncorrected: -13.8 eV/f.u.

=====

# 2
DFT (GGA-PBEsol) results for Cs3HoO3 after structural relaxation.

```
14
Lattice="3.905 -6.301 0.000 3.905 6.301 0.000 -1.441 0.000 7.395" Properties=species:S:1:pos:R:3 pbc="T T T"
Cs 3.905 3.639 0.000
Cs 3.185 2.999 3.697
Cs 2.571 0.000 1.085
Cs 3.798 0.000 6.310
Cs 3.185 -2.999 3.697
Cs 3.905 -3.639 0.000
Ho 0.406 0.000 4.824
Ho 5.964 0.000 2.571
O 0.303 0.000 2.665
O 1.238 1.725 5.680
O 1.238 -1.725 5.680
O 5.132 1.725 1.715
O 5.132 -1.725 1.715
O 6.066 0.000 4.729
```

Results
distance to the lowest polymorph of the same formula: 13 meV/atom
energy relative to the elements, uncorrected: -13.7 eV/f.u.

=====

# 3
DFT (GGA-PBEsol) results for CsHoS2 after structural relaxation.

```
8
Lattice="4.010 0.000 0.000 -2.005 3.473 0.000 0.000 0.000 15.822" Properties=species:S:1:pos:R:3 pbc="T T T"
Cs 0.000 2.315 3.955
Cs 2.005 1.158 11.866
Ho 0.000 0.000 0.000
Ho 0.000 0.000 7.911
S 0.000 2.315 9.362
S 0.000 2.315 14.371
S 2.005 1.158 1.451
S 2.005 1.158 6.460
```

Results
distance to the lowest polymorph of the same formula: 0 meV/atom
energy relative to the elements, uncorrected: -7.5 eV/f.u.

=====

# 4
DFT (GGA-PBEsol) results for CsHoS2 after structural relaxation.

```
4
Lattice="2.006 1.158 7.932 -2.006 1.158 7.932 0.000 -2.316 7.932" Properties=species:S:1:pos:R:3 pbc="T T T"
Cs 0.000 0.000 0.000
Ho 0.000 0.000 11.899
S 0.000 0.000 5.416
S 0.000 0.000 18.381
```

Results
distance to the lowest polymorph of the same formula: 3 meV/atom
energy relative to the elements, uncorrected: -7.5 eV/f.u.

=====

# 5
DFT (GGA-PBEsol) results for CsHo3Te5 after structural relaxation.

```
36
Lattice="23.393 0.000 0.000 0.000 4.320 0.000 0.000 0.000 12.872" Properties=species:S:1:pos:R:3 pbc="T T T"
Cs 2.059 1.080 1.873
Cs 9.637 3.240 8.309
Cs 13.755 1.080 4.563
Cs 21.334 3.240 10.999
Ho 1.313 3.240 7.821
Ho 4.086 1.080 10.275
Ho 4.624 1.080 5.845
Ho 7.073 3.240 12.281
Ho 7.611 3.240 3.839
Ho 10.383 1.080 1.385
Ho 13.010 3.240 11.487
Ho 15.782 1.080 9.032
Ho 16.320 1.080 0.591
Ho 18.769 3.240 7.027
Ho 19.307 3.240 2.597
Ho 22.080 1.080 5.051
Te 1.085 1.080 9.931
Te 1.613 1.080 5.676
Te 4.067 3.240 12.342
Te 4.382 3.240 8.055
Te 4.596 3.240 3.793
Te 7.100 1.080 10.229
Te 7.315 1.080 1.620
Te 7.629 1.080 5.906
Te 10.084 3.240 12.112
Te 10.611 3.240 3.495
Te 12.781 1.080 9.376
Te 13.309 1.080 0.760
Te 15.764 3.240 6.966
Te 16.078 3.240 11.252
Te 16.293 3.240 2.643
Te 18.796 1.080 9.079
Te 19.011 1.080 4.816
Te 19.326 1.080 0.530
Te 21.780 3.240 7.196
Te 22.308 3.240 2.940
```

Results
energy relative to the elements, uncorrected: -12.5 eV/f.u.

=====

# 6
DFT (GGA-PBEsol) results for CsI after structural relaxation.

```
2
Lattice="0.000 3.815 3.815 3.815 0.000 3.815 3.815 3.815 0.000" Properties=species:S:1:pos:R:3 pbc="T T T"
Cs 0.000 0.000 0.000
I 3.815 3.815 3.815
```

Results
energy relative to the elements, uncorrected: -3.1 eV/f.u.

=====

# 7
DFT (GGA-PBEsol) results for CsI after structural relaxation.

```
2
Lattice="4.506 0.000 0.000 0.000 4.506 0.000 0.000 0.000 4.506" Properties=species:S:1:pos:R:3 pbc="T T T"
Cs 0.000 0.000 0.000
I 2.253 2.253 2.253
```

Results
energy relative to the elements, uncorrected: -3.1 eV/f.u.

=====

# 8
DFT (GGA-PBEsol) results for CsI3 after structural relaxation.

```
16
Lattice="10.832 0.000 0.000 0.000 6.793 0.000 0.000 0.000 10.070" Properties=species:S:1:pos:R:3 pbc="T T T"
Cs 1.911 1.698 0.321
Cs 3.504 5.094 5.356
Cs 7.327 1.698 4.714
Cs 8.920 5.094 9.749
I 0.783 5.094 2.581
I 1.377 1.698 5.596
I 1.773 5.094 8.681
I 3.643 1.698 3.647
I 4.038 5.094 0.561
I 4.633 1.698 7.616
I 6.199 5.094 2.453
I 6.793 1.698 9.508
I 7.189 5.094 6.423
I 9.059 1.698 1.388
I 9.454 5.094 4.474
I 10.049 1.698 7.488
```

Results
energy relative to the elements, uncorrected: -3.3 eV/f.u.

=====

Q: What is the formula in the first record?
A: Cs3HoO3

=====

Repeat the third record exactly.
DFT (GGA-PBEsol) results for CsHoS2 after structural relaxation.

```
8
Lattice="4.010 0.000 0.000 -2.005 3.473 0.000 0.000 0.000 15.822" Properties=species:S:1:pos:R:3 pbc="T T T"
Cs 0.000 2.315 3.955
Cs 2.005 1.158 11.866
Ho 0.000 0.000 0.000
Ho 0.000 0.000 7.911
S 0.000 2.315 9.362
S 0.000 2.315 14.371
S 2.005 1.158 1.451
S 2.005 1.158 6.460
```

Results
distance to the lowest polymorph of the same formula: 0 meV/atom
energy relative to the elements, uncorrected: -7.5 eV/f.u.

=====

Q: Which value of energy relative to the elements, uncorrected does entry 4 give?
A: -7.5 eV/f.u.